(1)
Crystalline NiRuRh at its relaxed geometry. Source: Alexandria via LeMat-Bulk, functional PBE.

Properties
- ΔE to the lowest computed polymorph (meV per atom) = 280
- V (A^3/atom) = 13.513
- calculated total energy (Ha/atom) = -0.2627
- ΔE_f (kJ per mole of atoms) = 31.0
- DOS(E_F) (states/eV per cell) = 5.7

Unit cell a=7.026 b=6.790 c=2.629 alpha=84.13 beta=74.02 gamma=21.85
Site moments in Bohr magnetons follow the coordinates.
Atoms (fractional coordinates):
Ni 0.001 0.001 0.999  -0.01
Rh 0.336 0.336 0.664  0.01
Ru 0.663 0.663 0.337  0.38

(2)
Crystalline Ni2RuRh5 at its relaxed geometry. Source: Alexandria via LeMat-Bulk, functional PBE.

Properties
- ΔE to the lowest computed polymorph (meV per atom) = 0
- V (A^3/atom) = 13.531
- calculated total energy (Ha/atom) = -0.2621
- ΔE_f (kJ per mole of atoms) = 6.6
- DOS(E_F) (states/eV per cell) = 9.2

Unit cell a=5.342 b=5.342 c=5.342 alpha=90.48 beta=119.72 gamma=119.72
Site moments in Bohr magnetons follow the coordinates.
Atoms (fractional coordinates):
Ni 0.500 0.722 0.222  0.78
Rh 0.000 0.722 0.222  0.36
Ru 0.000 0.222 0.222  0.45
Rh 0.500 0.222 0.222  0.36
Ni 0.500 0.222 0.722  0.78
Rh 0.000 0.222 0.722  0.36
Rh 0.000 0.722 0.722  0.40
Rh 0.500 0.722 0.722  0.36

(3)
Crystalline Ni3RuRh at its relaxed geometry. Source: Alexandria via LeMat-Bulk, functional PBE.

Properties
- ΔE to the lowest computed polymorph (meV per atom) = 1213
- V (A^3/atom) = 16.699
- calculated total energy (Ha/atom) = -0.1950
- ΔE_f (kJ per mole of atoms) = 143.5
- DOS(E_F) (states/eV per cell) = 9.3

Unit cell a=4.371 b=4.371 c=4.371 alpha=90.00 beta=90.00 gamma=90.00
Atoms (fractional coordinates):
Ni 0.000 0.500 0.000
Rh 0.500 0.500 0.500
Ru 0.000 0.000 0.000
Ni 0.500 0.000 0.000
Ni 0.000 0.000 0.500

(4)
Crystalline Ni2RuRh at its relaxed geometry. Source: Alexandria via LeMat-Bulk, functional PBE.

Properties
- ΔE to the lowest computed polymorph (meV per atom) = 54
- V (A^3/atom) = 12.557
- calculated total energy (Ha/atom) = -0.2553
- ΔE_f (kJ per mole of atoms) = 9.6
- DOS(E_F) (states/eV per cell) = 5.6

Unit cell a=2.641 b=3.618 c=5.256 alpha=90.00 beta=90.00 gamma=90.00
Atoms (fractional coordinates):
Rh 0.500 0.500 0.250
Ru 0.500 0.500 0.750
Ni 0.000 0.000 0.506
Ni 0.000 0.000 0.994

(5)
Crystalline NiRuRh2 at its relaxed geometry. Source: Alexandria via LeMat-Bulk, functional PBE.

Properties
- ΔE to the lowest computed polymorph (meV per atom) = 35
- V (A^3/atom) = 13.376
- calculated total energy (Ha/atom) = -0.2710
- ΔE_f (kJ per mole of atoms) = 6.4
- DOS(E_F) (states/eV per cell) = 5.1

Unit cell a=2.698 b=2.698 c=7.349 alpha=90.00 beta=90.00 gamma=90.00
Atoms (fractional coordinates):
Ni 0.500 0.500 0.746
Rh 0.500 0.500 0.255
Rh 0.000 0.000 0.987
Ru 0.000 0.000 0.511

(6)
Crystalline Ni2RuRh at its relaxed geometry. Source: Alexandria via LeMat-Bulk, functional PBE.

Properties
- ΔE to the lowest computed polymorph (meV per atom) = 35
- V (A^3/atom) = 12.599
- calculated total energy (Ha/atom) = -0.2560
- ΔE_f (kJ per mole of atoms) = 7.8
- DOS(E_F) (states/eV per cell) = 6.2

Unit cell a=2.667 b=2.667 c=7.085 alpha=90.00 beta=90.00 gamma=90.00
Site moments in Bohr magnetons follow the coordinates.
Atoms (fractional coordinates):
Rh 0.000 0.000 0.495  0.09
Ni 0.000 0.000 0.007  0.13
Ni 0.500 0.500 0.237  0.41
Ru 0.500 0.500 0.760  0.04